An optimized crystal structure of Na2NiF6. Source: Alexandria via LeMat-Bulk, functional PBE+U.

Lattice parameters (Å, degrees): 5.4383 5.7649 7.5926 90.00 93.56 90.00
Positions (direct):
Na 0.9707 0.4243 0.7570
Na 0.5293 0.9243 0.7430
Na 0.4707 0.0757 0.2570
Na 0.0293 0.5757 0.2430
Ni 0.5000 0.5000 0.0000
Ni 0.0000 0.0000 0.5000
F 0.8789 0.9529 0.2773
F 0.8478 0.7396 0.5670
F 0.7690 0.6660 0.9530
F 0.7310 0.1660 0.5470
F 0.6522 0.2396 0.9330
F 0.6211 0.4529 0.2227
F 0.1211 0.0471 0.7227
F 0.1522 0.2604 0.4330
F 0.2310 0.3340 0.0470
F 0.2690 0.8340 0.4530
F 0.3478 0.7604 0.0670
F 0.3789 0.5471 0.7773

Output
Size of the total moment, μB per formula unit: 0.2
Space group: No. 14
Density of states at the Fermi level, states/eV per cell: 0.00
Total energy, eV/atom: -3.909
V, Å³/cell: 237.6